Here is crystalline ZnNi2Pb at its relaxed geometry from the Alexandria database. Energies are from GGA-PBE.

Computed properties:
VASP energy: -3.850 eV/atom
Energy relative to the elements: 0.286 eV/atom

Unit cell a=6.261 b=6.261 c=6.261 alpha=90.00 beta=90.00 gamma=90.00
Space group F-43m (No. 216)
One atom of each set of equivalent atoms:
Zn: 0.000 0.000 0.000 [4 per cell]
Ni: 0.000 0.000 0.500 [4 per cell]
Ni: 0.250 0.250 0.750 [4 per cell]
Pb: 0.250 0.250 0.250 [4 per cell]



Here is crystalline CsTmIn at its relaxed geometry from the Alexandria database. Energies are from GGA-PBE.

Computed properties:
VASP energy: -2.680 eV/atom
Energy relative to the elements: 0.008 eV/atom

Unit cell a=8.765 b=5.359 c=13.302 alpha=90.00 beta=103.93 gamma=90.00
Space group C2/m (No. 12)
One atom of each set of equivalent atoms:
Cs: 0.236 0.000 0.187 [4 per cell]
Tm: 0.153 0.500 0.440 [4 per cell]
In: 0.024 0.000 0.617 [4 per cell]



Here is crystalline Tb4ZrRu5 at its relaxed geometry from the Alexandria database. Energies are from GGA-PBE.

Computed properties:
VASP energy: -7.716 eV/atom
Energy relative to the elements: -0.371 eV/atom

Unit cell a=3.375 b=3.375 c=17.012 alpha=90.00 beta=90.00 gamma=90.00
Space group P4/mmm (No. 123)
One atom of each set of equivalent atoms:
Tb: 0.000 0.000 0.101 [2 per cell]
Tb: 0.000 0.000 0.302 [2 per cell]
Zr: 0.000 0.000 0.500 [1 per cell]
Ru: 0.500 0.500 0.000 [1 per cell]
Ru: 0.500 0.500 0.203 [2 per cell]
Ru: 0.500 0.500 0.409 [2 per cell]



Here is crystalline ErCuHRh2 at its relaxed geometry from the Alexandria database. Energies are from GGA-PBE.

Computed properties:
VASP energy: -5.829 eV/atom

Unit cell a=4.122 b=4.122 c=3.877 alpha=90.00 beta=90.00 gamma=90.00
Space group P4/mmm (No. 123)
One atom of each set of equivalent atoms:
Er: 0.000 0.000 0.000 [1 per cell]
Cu: 0.500 0.500 0.000 [1 per cell]
H: 0.500 0.500 0.500 [1 per cell]
Rh: 0.000 0.500 0.500 [2 per cell]



Here is crystalline CdSiRu3 at its relaxed geometry from the Alexandria database. Energies are from GGA-PBE.

Computed properties:
VASP energy: -4.436 eV/atom
Energy above the lowest structure with this stoichiometry: 896 kJ/mol of formula units

Unit cell a=4.864 b=4.864 c=4.864 alpha=90.00 beta=90.00 gamma=90.00
Space group Pm-3m (No. 221)
One atom of each set of equivalent atoms:
Cd: 0.000 0.000 0.000 [1 per cell]
Si: 0.500 0.500 0.500 [1 per cell]
Ru: 0.000 0.000 0.500 [3 per cell]



Here is crystalline ZnAsCl2 at its relaxed geometry from the Alexandria database. Energies are from GGA-PBE.

Computed properties:
VASP energy: -2.811 eV/atom
Energy above the lowest structure with this stoichiometry: 7 kJ/mol of formula units

Unit cell a=13.519 b=3.290 c=5.331 alpha=90.00 beta=103.32 gamma=90.00
Space group Cm (No. 8)
One atom of each set of equivalent atoms:
Zn: 0.000 0.000 0.000 [2 per cell]
As: 0.149 0.500 0.207 [2 per cell]
Cl: 0.090 0.500 0.569 [2 per cell]
Cl: 0.374 0.000 0.887 [2 per cell]